(1)
Below is a geometry-optimized MnBe2Br structure, with properties calculated at the GGA-PBE level.

Results
As for the total energy: -3.608 eV per atom. The symmetry is F-43m (216).

Unit cell a=4.212 b=4.212 c=4.212 alpha=60.00 beta=60.00 gamma=60.00
Each line ends with the local moment (μB).
Fractional positions:
1 Be 0.000 0.000 0.000  -0.11
2 Be 0.750 0.750 0.750  -0.12
3 Br 0.500 0.500 0.500  -0.10
4 Mn 0.250 0.250 0.250  2.55


(2)
Below is a geometry-optimized TmRePbO6 structure, with properties calculated at the GGA-PBE level.

Results
As for the total energy: -7.650 eV per atom. The symmetry is P312 (149).

Unit cell a=5.542 b=5.542 c=5.203 alpha=90.00 beta=90.00 gamma=60.00
Fractional positions:
1 O 0.040 0.606 0.709
2 O 0.606 0.354 0.709
3 O 0.354 0.606 0.291
4 O 0.606 0.040 0.291
5 O 0.354 0.040 0.709
6 O 0.040 0.354 0.291
7 Tm 0.667 0.667 0.500
8 Re 0.333 0.333 0.500
9 Pb 0.000 0.000 0.000


(3)
Below is a geometry-optimized AlAg3B structure, with properties calculated at the GGA-PBE level.

Results
For the formation energy, the calculation gives 1.360 eV/atom. The symmetry is Pm-3m (221).

Unit cell a=4.853 b=4.853 c=4.853 alpha=90.00 beta=90.00 gamma=90.00
Fractional positions:
1 Al 0.000 0.000 0.000
2 Ag 0.000 0.000 0.500
3 Ag 0.000 0.500 0.000
4 Ag 0.500 0.000 0.000
5 B 0.500 0.500 0.500